! LiVPO4 (PBEsol, relaxed); values from VASP
&SYSTEM
  ibrav = 0, nat = 14, ntyp = 4
/
ATOMIC_SPECIES
Li 6.94 Li.upf
V 50.94 V.upf
P 30.97 P.upf
O 16.00 O.upf
ATOMIC_POSITIONS crystal
Li 0.000 0.000 0.000
Li 0.250 0.250 0.250
V 0.368 0.368 0.632
V 0.618 0.618 0.882
P 0.680 0.680 0.320
P 0.930 0.930 0.570
O 0.023 0.533 0.121
O 0.049 0.594 0.606
O 0.129 0.927 0.227
O 0.499 0.644 0.656
O 0.533 0.023 0.323
O 0.594 0.049 0.751
O 0.644 0.499 0.201
O 0.927 0.129 0.717
CELL_PARAMETERS angstrom
0.000 5.662 4.573
2.761 0.000 4.573
2.761 5.662 0.000
! Electronic total energy = -0.5555 Ry per atom
! Calculated volume = 10.211 A^3/atom
! Formation energy from raw total energies = -2073 meV per atom
! Crystal system = orthorhombic
! Energy above the lowest structure with this stoichiometry = 76 meV per atom

! LiVPO5 (PBEsol, relaxed); values from VASP
&SYSTEM
  ibrav = 0, nat = 32, ntyp = 4
/
ATOMIC_SPECIES
Li 6.94 Li.upf
V 50.94 V.upf
P 30.97 P.upf
O 16.00 O.upf
ATOMIC_POSITIONS crystal
Li 0.246 0.007 0.000
Li 0.254 0.507 0.500
Li 0.746 0.493 0.000
Li 0.754 0.993 0.500
V 0.042 0.752 0.743
V 0.458 0.252 0.243
V 0.542 0.748 0.743
V 0.958 0.248 0.243
P 0.000 0.251 0.743
P 0.000 0.749 0.243
P 0.500 0.249 0.743
P 0.500 0.751 0.243
O 0.102 0.450 0.731
O 0.102 0.764 0.045
O 0.103 0.739 0.441
O 0.104 0.053 0.756
O 0.140 0.244 0.239
O 0.360 0.744 0.739
O 0.396 0.553 0.256
O 0.397 0.239 0.941
O 0.398 0.264 0.545
O 0.398 0.950 0.231
O 0.602 0.050 0.731
O 0.602 0.736 0.045
O 0.603 0.761 0.441
O 0.604 0.447 0.756
O 0.640 0.256 0.239
O 0.860 0.756 0.739
O 0.896 0.947 0.256
O 0.897 0.261 0.941
O 0.898 0.236 0.545
O 0.898 0.550 0.231
CELL_PARAMETERS angstrom
8.868 0.000 0.000
0.000 6.273 0.000
0.000 0.000 6.273
! Electronic total energy = -0.5716 Ry per atom
! Calculated volume = 10.905 A^3/atom
! Formation energy from raw total energies = -2322 meV per atom
! Crystal system = orthorhombic
! Energy above the lowest structure with this stoichiometry = 10 meV per atom

! Li7V4P6O24 (PBEsol, relaxed); values from VASP
&SYSTEM
  ibrav = 0, nat = 41, ntyp = 4
/
ATOMIC_SPECIES
Li 6.94 Li.upf
V 50.94 V.upf
P 30.97 P.upf
O 16.00 O.upf
ATOMIC_POSITIONS crystal
Li 0.000 0.000 0.000
Li 0.112 0.420 0.702
Li 0.229 0.890 0.293
Li 0.406 0.775 0.699
Li 0.585 0.244 0.289
Li 0.761 0.129 0.699
Li 0.875 0.598 0.292
V 0.137 0.152 0.568
V 0.340 0.355 0.959
V 0.649 0.664 0.032
V 0.852 0.867 0.423
P 0.038 0.760 0.747
P 0.244 0.554 0.245
P 0.451 0.053 0.747
P 0.539 0.967 0.244
P 0.744 0.466 0.747
P 0.952 0.259 0.244
O 0.033 0.814 0.551
O 0.120 0.768 0.241
O 0.124 0.884 0.750
O 0.164 0.205 0.114
O 0.164 0.543 0.801
O 0.189 0.526 0.115
O 0.190 0.408 0.441
O 0.237 0.139 0.749
O 0.392 0.971 0.441
O 0.460 0.519 0.190
O 0.479 0.841 0.876
O 0.486 0.179 0.801
O 0.503 0.840 0.190
O 0.511 0.179 0.116
O 0.528 0.501 0.802
O 0.597 0.049 0.550
O 0.753 0.880 0.242
O 0.797 0.614 0.551
O 0.800 0.493 0.876
O 0.825 0.475 0.190
O 0.826 0.814 0.877
O 0.865 0.135 0.242
O 0.869 0.253 0.748
O 0.957 0.205 0.440
CELL_PARAMETERS angstrom
8.398 0.000 0.000
4.199 7.276 0.000
4.196 2.420 7.188
! Electronic total energy = -0.5494 Ry per atom
! Calculated volume = 10.713 A^3/atom
! Formation energy from raw total energies = -2279 meV per atom
! Crystal system = triclinic

! Li2VPO6 (PBEsol, relaxed); values from VASP
&SYSTEM
  ibrav = 0, nat = 40, ntyp = 4
/
ATOMIC_SPECIES
Li 6.94 Li.upf
V 50.94 V.upf
P 30.97 P.upf
O 16.00 O.upf
ATOMIC_POSITIONS crystal
Li 0.089 0.025 0.000
Li 0.130 0.533 0.297
Li 0.370 0.033 0.797
Li 0.411 0.525 0.500
Li 0.589 0.475 0.000
Li 0.630 0.967 0.297
Li 0.870 0.467 0.797
Li 0.911 0.975 0.500
V 0.110 0.480 0.678
V 0.390 0.980 0.178
V 0.610 0.020 0.678
V 0.890 0.520 0.178
P 0.217 0.080 0.480
P 0.283 0.580 0.980
P 0.717 0.420 0.480
P 0.783 0.920 0.980
O 0.012 0.299 0.149
O 0.050 0.254 0.807
O 0.080 0.231 0.489
O 0.212 0.735 0.118
O 0.215 0.752 0.490
O 0.222 0.686 0.822
O 0.278 0.186 0.322
O 0.285 0.252 0.990
O 0.288 0.235 0.618
O 0.420 0.731 0.989
O 0.450 0.754 0.307
O 0.488 0.799 0.649
O 0.512 0.201 0.149
O 0.550 0.246 0.807
O 0.580 0.269 0.489
O 0.712 0.765 0.118
O 0.715 0.748 0.490
O 0.722 0.814 0.822
O 0.778 0.314 0.322
O 0.785 0.248 0.990
O 0.788 0.265 0.618
O 0.920 0.769 0.989
O 0.950 0.746 0.307
O 0.988 0.701 0.649
CELL_PARAMETERS angstrom
10.275 0.000 0.000
0.000 4.624 0.000
0.000 0.000 8.511
! Electronic total energy = -0.5462 Ry per atom
! Calculated volume = 10.110 A^3/atom
! Formation energy from raw total energies = -2346 meV per atom
! Crystal system = orthorhombic

! Li3V3P4O16 (PBEsol, relaxed); values from VASP
&SYSTEM
  ibrav = 0, nat = 52, ntyp = 4
/
ATOMIC_SPECIES
Li 6.94 Li.upf
V 50.94 V.upf
P 30.97 P.upf
O 16.00 O.upf
ATOMIC_POSITIONS crystal
Li 0.139 0.000 0.079
Li 0.149 0.009 0.575
Li 0.342 0.270 0.673
Li 0.658 0.770 0.327
Li 0.851 0.509 0.425
Li 0.861 0.500 0.921
V 0.240 0.637 0.626
V 0.244 0.651 0.129
V 0.356 0.284 0.179
V 0.644 0.784 0.821
V 0.756 0.151 0.871
V 0.760 0.137 0.374
P 0.051 0.831 0.356
P 0.051 0.842 0.853
P 0.448 0.444 0.894
P 0.449 0.455 0.404
P 0.551 0.955 0.596
P 0.552 0.944 0.106
P 0.949 0.331 0.644
P 0.949 0.342 0.147
O 0.006 0.513 0.605
O 0.012 0.518 0.104
O 0.102 0.208 0.662
O 0.114 0.219 0.158
O 0.139 0.835 0.722
O 0.151 0.838 0.226
O 0.187 0.781 0.966
O 0.195 0.777 0.470
O 0.300 0.503 0.790
O 0.305 0.498 0.284
O 0.353 0.443 0.532
O 0.369 0.443 0.035
O 0.395 0.069 0.093
O 0.396 0.073 0.586
O 0.490 0.766 0.144
O 0.496 0.772 0.652
O 0.504 0.272 0.348
O 0.510 0.266 0.856
O 0.604 0.573 0.414
O 0.605 0.569 0.907
O 0.631 0.943 0.965
O 0.647 0.943 0.468
O 0.695 0.998 0.716
O 0.700 0.003 0.210
O 0.805 0.277 0.530
O 0.813 0.281 0.034
O 0.849 0.338 0.774
O 0.861 0.335 0.278
O 0.886 0.719 0.842
O 0.898 0.708 0.338
O 0.988 0.018 0.896
O 0.994 0.013 0.395
CELL_PARAMETERS angstrom
7.494 0.000 0.000
0.000 7.897 0.000
-0.886 0.000 10.048
! Electronic total energy = -0.5684 Ry per atom
! Calculated volume = 11.434 A^3/atom
! Formation energy from raw total energies = -2273 meV per atom
! Crystal system = monoclinic
! Energy above the lowest structure with this stoichiometry = 0 meV per atom

! Li2V2P3O12 (PBEsol, relaxed); values from VASP
&SYSTEM
  ibrav = 0, nat = 76, ntyp = 4
/
ATOMIC_SPECIES
Li 6.94 Li.upf
V 50.94 V.upf
P 30.97 P.upf
O 16.00 O.upf
ATOMIC_POSITIONS crystal
Li 0.185 0.217 0.222
Li 0.185 0.783 0.722
Li 0.315 0.283 0.722
Li 0.315 0.717 0.222
Li 0.685 0.283 0.778
Li 0.685 0.717 0.278
Li 0.815 0.217 0.278
Li 0.815 0.783 0.778
V 0.114 0.253 0.534
V 0.114 0.747 0.034
V 0.386 0.247 0.034
V 0.386 0.753 0.534
V 0.614 0.247 0.466
V 0.614 0.753 0.966
V 0.886 0.253 0.966
V 0.886 0.747 0.466
P 0.000 0.463 0.250
P 0.000 0.537 0.750
P 0.145 0.105 0.894
P 0.145 0.895 0.394
P 0.355 0.395 0.394
P 0.355 0.605 0.894
P 0.500 0.037 0.750
P 0.500 0.963 0.250
P 0.645 0.395 0.106
P 0.645 0.605 0.606
P 0.855 0.105 0.606
P 0.855 0.895 0.106
O 0.028 0.158 0.944
O 0.028 0.842 0.444
O 0.069 0.437 0.637
O 0.069 0.563 0.137
O 0.083 0.355 0.336
O 0.083 0.645 0.836
O 0.156 0.076 0.396
O 0.156 0.924 0.896
O 0.174 0.163 0.729
O 0.174 0.837 0.229
O 0.229 0.174 0.013
O 0.229 0.826 0.513
O 0.271 0.326 0.513
O 0.271 0.674 0.013
O 0.326 0.337 0.229
O 0.326 0.663 0.729
O 0.344 0.424 0.896
O 0.344 0.576 0.396
O 0.417 0.145 0.836
O 0.417 0.855 0.336
O 0.431 0.063 0.137
O 0.431 0.937 0.637
O 0.472 0.342 0.444
O 0.472 0.658 0.944
O 0.528 0.342 0.056
O 0.528 0.658 0.556
O 0.569 0.063 0.363
O 0.569 0.937 0.863
O 0.583 0.145 0.664
O 0.583 0.855 0.164
O 0.656 0.424 0.604
O 0.656 0.576 0.104
O 0.674 0.337 0.271
O 0.674 0.663 0.771
O 0.729 0.326 0.987
O 0.729 0.674 0.487
O 0.771 0.174 0.487
O 0.771 0.826 0.987
O 0.826 0.163 0.771
O 0.826 0.837 0.271
O 0.844 0.076 0.104
O 0.844 0.924 0.604
O 0.917 0.355 0.164
O 0.917 0.645 0.664
O 0.931 0.437 0.863
O 0.931 0.563 0.363
O 0.972 0.158 0.556
O 0.972 0.842 0.056
CELL_PARAMETERS angstrom
11.941 0.000 0.000
0.000 8.526 0.000
0.000 0.000 8.593
! Electronic total energy = -0.5717 Ry per atom
! Calculated volume = 11.511 A^3/atom
! Formation energy from raw total energies = -2327 meV per atom
! Crystal system = orthorhombic
! Energy above the lowest structure with this stoichiometry = 0 meV per atom

Q: Which value of electronic total energy does entry 5 give?
A: -0.5684 Ry per atom

Q: Look up the formation energy from raw total energies of the first one.
A: -2073 meV per atom